No. 1
Mn3Cr3Se8: optimized geometry, GGA-PBE.

- formation energy from raw total energies (eV per atom) = -0.493

Lattice parameters (Å, degrees): 7.5761 7.5761 18.5431 90.00 90.00 120.00
With the nearest neighbours (Å) after each atom.
Space group R-3m (No. 166, hexagonal axes)
Inequivalent atoms, fractional coordinates:
Mn (0.0000, 0.0000, 0.0000) (multiplicity 3)  6 Se 2.60
Mn (0.0000, 0.0000, 0.3753) (multiplicity 6)  4 Se 2.51-2.52
Cr (0.0000, 0.5000, 0.5000) (multiplicity 9)  6 Se 2.56-2.57
Se (0.0000, 0.0000, 0.2394) (multiplicity 6)  1 Mn 2.52, 3 Cr 2.57
Se (0.0257, 0.5129, 0.7546) (multiplicity 18)  2 Mn 2.51-2.60, 2 Cr 2.56



No. 2
MnCrSe2: optimized geometry, GGA-PBE.

- energy relative to the lowest polymorph listed for this composition (meV/atom) = 566.1
- formation energy from raw total energies (eV per atom) = 0.237

Lattice parameters (Å, degrees): 6.0059 6.0059 6.0059 90.00 90.00 90.00
With the nearest neighbours (Å) after each atom.
Space group Fm-3m (No. 225)
Inequivalent atoms, fractional coordinates:
Mn (0.0000, 0.0000, 0.0000) (multiplicity 4)  8 Se 2.60
Cr (0.0000, 0.0000, 0.5000) (multiplicity 4)  8 Se 2.60
Se (0.2500, 0.2500, 0.2500) (multiplicity 8)  4 Cr 2.60, 4 Mn 2.60



No. 3
MnCrSe2: optimized geometry, GGA-PBE.

- energy relative to the lowest polymorph listed for this composition (meV/atom) = 289.3
- formation energy from raw total energies (eV per atom) = -0.040

Lattice parameters (Å, degrees): 3.6321 7.6342 7.1745 90.00 90.00 90.00
With the nearest neighbours (Å) after each atom.
Space group Cmmm (No. 65)
Inequivalent atoms, fractional coordinates:
Mn (0.0000, 0.0000, 0.0000) (multiplicity 2)  4 Se 2.55
Cr (0.0000, 0.0000, 0.5000) (multiplicity 2)  4 Se 2.55
Se (0.0000, 0.5000, 0.2498) (multiplicity 4)  2 Mn 2.55, 2 Cr 2.55



No. 4
MnCr2Se2: optimized geometry, GGA-PBE.

- energy relative to the lowest polymorph listed for this composition (meV/atom) = 0.0
- formation energy from raw total energies (eV per atom) = 0.152

Lattice parameters (Å, degrees): 6.9190 6.9190 3.3100 90.00 90.00 90.00
With the nearest neighbours (Å) after each atom.
Space group P4/mbm (No. 127)
Inequivalent atoms, fractional coordinates:
Mn (0.0000, 0.0000, 0.0000) (multiplicity 2)  4 Se 2.61
Cr (0.1455, 0.3545, 0.5000) (multiplicity 4)  6 Se 2.54-2.67
Se (0.1573, 0.6573, 0.0000) (multiplicity 4)  6 Cr 2.54-2.67, 2 Mn 2.61



No. 5
MnCr2Se2: optimized geometry, GGA-PBE.

- energy relative to the lowest polymorph listed for this composition (meV/atom) = 437.4
- formation energy from raw total energies (eV per atom) = 0.589

Lattice parameters (Å, degrees): 3.3287 3.3287 13.7189 90.00 90.00 90.00
With the nearest neighbours (Å) after each atom.
Space group I4/mmm (No. 139)
Inequivalent atoms, fractional coordinates:
Mn (0.0000, 0.0000, 0.0000) (multiplicity 2)  8 Se 2.81
Cr (0.0000, 0.5000, 0.2500) (multiplicity 4)  4 Cr 2.35, 4 Se 2.53
Se (0.0000, 0.0000, 0.3887) (multiplicity 4)  4 Cr 2.53, 4 Mn 2.81



No. 6
MnCrSe2: optimized geometry, GGA-PBE.

- energy relative to the lowest polymorph listed for this composition (meV/atom) = 48.3
- formation energy from raw total energies (eV per atom) = -0.281

Lattice parameters (Å, degrees): 14.2381 3.3508 3.3543 90.00 90.25 90.00
With the nearest neighbours (Å) after each atom.
Space group Cm (No. 8)
Inequivalent atoms, fractional coordinates:
Mn (0.0000, 0.0000, 0.0000) (multiplicity 2)  5 Se 2.54-2.55
Cr (0.1129, 0.5000, 0.5022) (multiplicity 2)  5 Se 2.52-2.55
Se (0.1793, 0.0000, 0.0035) (multiplicity 2)  4 Cr 2.55, 1 Mn 2.55
Se (0.4357, 0.0000, 0.4989) (multiplicity 2)  1 Cr 2.52, 4 Mn 2.54



No. 7
MnCrSe2: optimized geometry, GGA-PBE.

- energy relative to the lowest polymorph listed for this composition (meV/atom) = 557.9
- formation energy from raw total energies (eV per atom) = 0.229

Lattice parameters (Å, degrees): 5.4241 5.4241 10.5332 90.00 90.00 90.00
With the nearest neighbours (Å) after each atom.
Space group I-42d (No. 122)
Inequivalent atoms, fractional coordinates:
Mn (0.0000, 0.0000, 0.0000) (multiplicity 4)  4 Se 2.30
Cr (0.0000, 0.0000, 0.5000) (multiplicity 4)  4 Se 2.35
Se (0.2422, 0.2500, 0.1250) (multiplicity 8)  2 Mn 2.30, 2 Cr 2.35



No. 8
MnCr2Se6: optimized geometry, GGA-PBE.

- formation energy from raw total energies (eV per atom) = -0.472

Lattice parameters (Å, degrees): 13.5028 3.5177 8.5552 90.00 108.00 90.00
With the nearest neighbours (Å) after each atom.
Space group C2/m (No. 12)
Inequivalent atoms, fractional coordinates:
Mn (0.0000, 0.0000, 0.0000) (multiplicity 2)  6 Se 2.47-2.48
Cr (0.1734, 0.5000, 0.3484) (multiplicity 4)  6 Se 2.45-2.54
Se (0.0354, 0.0000, 0.3021) (multiplicity 4)  1 Mn 2.48, 2 Cr 2.50
Se (0.1342, 0.5000, 0.0380) (multiplicity 4)  2 Mn 2.47, 1 Cr 2.54
Se (0.1932, 0.5000, 0.6424) (multiplicity 4)  3 Cr 2.45-2.50



No. 9
MnCr3Se: optimized geometry, GGA-PBE.

- energy relative to the lowest polymorph listed for this composition (meV/atom) = 0.0
- formation energy from raw total energies (eV per atom) = 0.974

Lattice parameters (Å, degrees): 4.5019 4.5019 4.5019 90.00 90.00 90.00
With the nearest neighbours (Å) after each atom.
Space group Pm-3m (No. 221)
Inequivalent atoms, fractional coordinates:
Mn (0.0000, 0.0000, 0.0000) (multiplicity 1)  6 Cr 2.25
Cr (0.0000, 0.0000, 0.5000) (multiplicity 3)  2 Mn 2.25
Se (0.5000, 0.5000, 0.5000) (multiplicity 1)  12 Cr 3.18



No. 10
MnCrSe2: optimized geometry, GGA-PBE.

- energy relative to the lowest polymorph listed for this composition (meV/atom) = 289.0
- formation energy from raw total energies (eV per atom) = -0.040

Lattice parameters (Å, degrees): 3.6353 7.1637 7.5967 90.00 90.00 90.00
With the nearest neighbours (Å) after each atom.
Space group Immm (No. 71)
Inequivalent atoms, fractional coordinates:
Mn (0.0000, 0.0000, 0.0000) (multiplicity 2)  4 Se 2.56
Cr (0.0000, 0.5000, 0.0000) (multiplicity 2)  4 Se 2.55
Se (0.0000, 0.2493, 0.5000) (multiplicity 4)  2 Cr 2.55, 2 Mn 2.56



No. 11
MnCr3Se: optimized geometry, GGA-PBE.

- energy relative to the lowest polymorph listed for this composition (meV/atom) = 447.8
- formation energy from raw total energies (eV per atom) = 1.422

Lattice parameters (Å, degrees): 4.2775 4.2775 4.2775 90.00 90.00 90.00
With the nearest neighbours (Å) after each atom.
Space group Pm-3m (No. 221)
Inequivalent atoms, fractional coordinates:
Mn (0.0000, 0.0000, 0.0000) (multiplicity 1)  12 Cr 3.02
Cr (0.0000, 0.5000, 0.5000) (multiplicity 3)  2 Se 2.14
Se (0.5000, 0.5000, 0.5000) (multiplicity 1)  6 Cr 2.14



No. 12
MnCrSe2: optimized geometry, GGA-PBE.

- energy relative to the lowest polymorph listed for this composition (meV/atom) = 1002.7
- formation energy from raw total energies (eV per atom) = 0.674

Lattice parameters (Å, degrees): 6.3230 6.3230 6.3230 90.00 90.00 90.00
With the nearest neighbours (Å) after each atom.
Space group F-43m (No. 216)
Inequivalent atoms, fractional coordinates:
Mn (0.0000, 0.0000, 0.0000) (multiplicity 4)  4 Se 2.74, 4 Cr 2.74
Cr (0.2500, 0.2500, 0.7500) (multiplicity 4)  4 Mn 2.74, 4 Se 2.74
Se (0.0000, 0.0000, 0.5000) (multiplicity 4)  4 Cr 2.74, 4 Se 2.74
Se (0.2500, 0.2500, 0.2500) (multiplicity 4)  4 Se 2.74, 4 Mn 2.74



Question: Among the records above, which one has the highest formation energy from raw total energies?
Answer: number 11